[1]
A plane-wave DFT calculation with GGA-PBE was carried out for crystalline CsNaMn2I6 at its relaxed geometry.

- formation energy without anion corrections (kJ/mol of formula units) = -797
- space group = No. 15
- M_tot (μB per cell) = 20.000

CIF file:
```
data_CsNaMn2I6
_chemical_formula_sum 'Cs2 Na2 Mn4 I12'
_cell_length_a 10.616
_cell_length_b 10.616
_cell_length_c 8.476
_cell_angle_alpha 102.48
_cell_angle_beta 102.48
_cell_angle_gamma 84.65
_symmetry_space_group_name_H-M 'P 1'
_symmetry_Int_Tables_number 1
loop_
_symmetry_equiv_pos_as_xyz
'x,y,z'
loop_
_atom_site_label
_atom_site_type_symbol
_atom_site_fract_x
_atom_site_fract_y
_atom_site_fract_z
_atom_site_occupancy
Cs1 Cs 0.190 0.810 0.750 1
Cs2 Cs 0.810 0.190 0.250 1
Na1 Na 0.400 0.600 0.250 1
Na2 Na 0.600 0.400 0.750 1
Mn1 Mn 0.124 0.304 0.768 1
Mn2 Mn 0.304 0.124 0.268 1
Mn3 Mn 0.696 0.876 0.732 1
Mn4 Mn 0.876 0.696 0.232 1
I1 I 0.108 0.168 0.007 1
I2 I 0.109 0.585 0.317 1
I3 I 0.168 0.108 0.507 1
I4 I 0.313 0.470 0.861 1
I5 I 0.415 0.891 0.183 1
I6 I 0.470 0.313 0.361 1
I7 I 0.530 0.687 0.639 1
I8 I 0.585 0.109 0.817 1
I9 I 0.687 0.530 0.139 1
I10 I 0.832 0.892 0.493 1
I11 I 0.891 0.415 0.683 1
I12 I 0.892 0.832 0.993 1
```

[2]
A plane-wave DFT calculation with GGA-PBE was carried out for crystalline Cs2NaMnI6 at its relaxed geometry.

- formation energy without anion corrections (kJ/mol of formula units) = -973
- E above lowest polymorph (meV per atom) = 0.0
- space group = No. 164
- M_tot (μB per cell) = 4.000

CIF file:
```
data_Cs2NaMnI6
_chemical_formula_sum 'Cs2 Na1 Mn1 I6'
_cell_length_a 8.250
_cell_length_b 8.250
_cell_length_c 7.636
_cell_angle_alpha 90.00
_cell_angle_beta 90.00
_cell_angle_gamma 120.00
_symmetry_space_group_name_H-M 'P 1'
_symmetry_Int_Tables_number 1
loop_
_symmetry_equiv_pos_as_xyz
'x,y,z'
loop_
_atom_site_label
_atom_site_type_symbol
_atom_site_fract_x
_atom_site_fract_y
_atom_site_fract_z
_atom_site_occupancy
Cs1 Cs 0.333 0.667 0.297 1
Cs2 Cs 0.667 0.333 0.703 1
Na1 Na 0.000 0.000 0.000 1
Mn1 Mn 0.000 0.000 0.500 1
I1 I 0.162 0.323 0.714 1
I2 I 0.162 0.838 0.714 1
I3 I 0.323 0.162 0.286 1
I4 I 0.677 0.838 0.714 1
I5 I 0.838 0.162 0.286 1
I6 I 0.838 0.677 0.286 1
```

[3]
A plane-wave DFT calculation with GGA-PBE was carried out for crystalline CsNaMnI4 at its relaxed geometry.

- formation energy without anion corrections (kJ/mol of formula units) = -676
- space group = No. 11
- M_tot (μB per cell) = 10.000

CIF file:
```
data_CsNaMnI4
_chemical_formula_sum 'Cs2 Na2 Mn2 I8'
_cell_length_a 7.523
_cell_length_b 8.445
_cell_length_c 10.526
_cell_angle_alpha 90.00
_cell_angle_beta 107.52
_cell_angle_gamma 90.00
_symmetry_space_group_name_H-M 'P 1'
_symmetry_Int_Tables_number 1
loop_
_symmetry_equiv_pos_as_xyz
'x,y,z'
loop_
_atom_site_label
_atom_site_type_symbol
_atom_site_fract_x
_atom_site_fract_y
_atom_site_fract_z
_atom_site_occupancy
Cs1 Cs 0.242 0.250 0.066 1
Cs2 Cs 0.758 0.750 0.934 1
Na1 Na 0.174 0.250 0.526 1
Na2 Na 0.826 0.750 0.474 1
Mn1 Mn 0.210 0.750 0.314 1
Mn2 Mn 0.790 0.250 0.686 1
I1 I 0.031 0.003 0.716 1
I2 I 0.031 0.497 0.716 1
I3 I 0.348 0.750 0.106 1
I4 I 0.461 0.750 0.555 1
I5 I 0.539 0.250 0.445 1
I6 I 0.652 0.250 0.894 1
I7 I 0.969 0.503 0.284 1
I8 I 0.969 0.997 0.284 1
```

[4]
A plane-wave DFT calculation with GGA-PBE was carried out for crystalline CsNa3Mn4I12 at its relaxed geometry.

- formation energy without anion corrections (kJ/mol of formula units) = -1366
- space group = No. 155
- M_tot (μB per cell) = 20.000

CIF file:
```
data_CsNa3Mn4I12
_chemical_formula_sum 'Cs1 Na3 Mn4 I12'
_cell_length_a 10.421
_cell_length_b 10.421
_cell_length_c 10.421
_cell_angle_alpha 105.76
_cell_angle_beta 105.76
_cell_angle_gamma 105.76
_symmetry_space_group_name_H-M 'P 1'
_symmetry_Int_Tables_number 1
loop_
_symmetry_equiv_pos_as_xyz
'x,y,z'
loop_
_atom_site_label
_atom_site_type_symbol
_atom_site_fract_x
_atom_site_fract_y
_atom_site_fract_z
_atom_site_occupancy
Cs1 Cs 0.000 0.000 0.000 1
Na1 Na 0.000 0.560 0.440 1
Na2 Na 0.440 0.000 0.560 1
Na3 Na 0.560 0.440 0.000 1
Mn1 Mn 0.066 0.500 0.934 1
Mn2 Mn 0.500 0.500 0.500 1
Mn3 Mn 0.500 0.934 0.066 1
Mn4 Mn 0.934 0.066 0.500 1
I1 I 0.064 0.660 0.779 1
I2 I 0.092 0.908 0.500 1
I3 I 0.221 0.340 0.936 1
I4 I 0.340 0.936 0.221 1
I5 I 0.343 0.657 0.500 1
I6 I 0.500 0.092 0.908 1
I7 I 0.500 0.343 0.657 1
I8 I 0.657 0.500 0.343 1
I9 I 0.660 0.779 0.064 1
I10 I 0.779 0.064 0.660 1
I11 I 0.908 0.500 0.092 1
I12 I 0.936 0.221 0.340 1
```

[5]
A plane-wave DFT calculation with GGA-PBE was carried out for crystalline Cs2MnNbI6 at its relaxed geometry.

- formation energy without anion corrections (kJ/mol of formula units) = -702
- space group = No. 225
- M_tot (μB per cell) = 7.951

CIF file:
```
data_Cs2MnNbI6
_chemical_formula_sum 'Cs2 Mn1 Nb1 I6'
_cell_length_a 8.291
_cell_length_b 8.291
_cell_length_c 8.291
_cell_angle_alpha 60.00
_cell_angle_beta 60.00
_cell_angle_gamma 60.00
_symmetry_space_group_name_H-M 'P 1'
_symmetry_Int_Tables_number 1
loop_
_symmetry_equiv_pos_as_xyz
'x,y,z'
loop_
_atom_site_label
_atom_site_type_symbol
_atom_site_fract_x
_atom_site_fract_y
_atom_site_fract_z
_atom_site_occupancy
Cs1 Cs 0.250 0.250 0.250 1
Cs2 Cs 0.750 0.750 0.750 1
Mn1 Mn 0.000 0.000 0.000 1
Nb1 Nb 0.500 0.500 0.500 1
I1 I 0.249 0.249 0.751 1
I2 I 0.249 0.751 0.249 1
I3 I 0.249 0.751 0.751 1
I4 I 0.751 0.249 0.249 1
I5 I 0.751 0.249 0.751 1
I6 I 0.751 0.751 0.249 1
```

no.,calculated volume (Å³/cell)
1,909.48
2,450.04
3,637.72
4,972.67
5,403.07